1.
Here is a relaxed structure of Sr2Te3 from the Alexandria database. Energies are from GGA-PBEsol.

Values from the calculation:
density of states at the Fermi level = 4.42 states/eV/cell
E_form (uncorrected) = -22.434 kcal/mol of atoms
total magnetization = 2.0 μB per cell
raw total energy = -19.123 eV per cell

Cell lengths 4.6412, 4.6412, 10.3248 Å; angles 77.01, 77.01, 60.00 degrees
Last column: magnetic moment on the atom in μB.
Sites, in units of the cell vectors:
Sr: 0.3979 0.3979 0.8064  0.05
Sr: 0.6021 0.6021 0.1936  0.05
Te: 0.0000 0.0000 0.0000  0.04
Te: 0.7966 0.7966 0.6102  0.46
Te: 0.2034 0.2034 0.3898  0.46

2.
Here is a relaxed structure of Sr2Te from the Alexandria database. Energies are from GGA-PBEsol.

Values from the calculation:
density of states at the Fermi level = 2.90 states/eV/cell
E_form (uncorrected) = -22.066 kcal/mol of atoms
total magnetization = 0.0 μB per cell
raw total energy = -20.155 eV per cell

Cell lengths 4.0447, 4.0447, 15.1420 Å; angles 97.68, 97.68, 90.00 degrees
Sites, in units of the cell vectors:
Te: 0.0000 0.0000 0.0000
Te: 0.2500 0.7500 0.5000
Sr: 0.8137 0.3137 0.6275
Sr: 0.5637 0.5637 0.1275
Sr: 0.4363 0.4363 0.8725
Sr: 0.6863 0.1863 0.3725

3.
Here is a relaxed structure of SrTe from the Alexandria database. Energies are from GGA-PBEsol.

Values from the calculation:
density of states at the Fermi level = 0.00 states/eV/cell
E_form (uncorrected) = -39.983 kcal/mol of atoms
total magnetization = 0.0 μB per cell
raw total energy = -8.834 eV per cell

Cell lengths 4.6754, 4.6754, 4.6754 Å; angles 60.00, 60.00, 60.00 degrees
Sites, in units of the cell vectors:
Sr: 0.0000 0.0000 0.0000
Te: 0.5000 0.5000 0.5000

4.
Here is a relaxed structure of SrTe3 from the Alexandria database. Energies are from GGA-PBEsol.

Values from the calculation:
E_form (uncorrected) = -17.467 kcal/mol of atoms
total magnetization = 0.0 μB per cell
raw total energy = -61.793 eV per cell

Cell lengths 8.0954, 7.8744, 8.8839 Å; angles 90.00, 90.00, 90.00 degrees
Sites, in units of the cell vectors:
Sr: 0.7500 0.4295 0.1169
Sr: 0.7500 0.9295 0.3831
Sr: 0.2500 0.5705 0.8831
Sr: 0.2500 0.0705 0.6169
Te: 0.5013 0.7690 0.1178
Te: 0.7500 0.9275 0.7601
Te: 0.9987 0.7690 0.1178
Te: 0.0013 0.2310 0.8822
Te: 0.7500 0.4275 0.7399
Te: 0.9987 0.2690 0.3822
Te: 0.5013 0.2690 0.3822
Te: 0.0013 0.7310 0.6178
Te: 0.4987 0.7310 0.6178
Te: 0.2500 0.5725 0.2601
Te: 0.4987 0.2310 0.8822
Te: 0.2500 0.0725 0.2399

5.
Here is a relaxed structure of SrTe3 from the Alexandria database. Energies are from GGA-PBEsol.

Values from the calculation:
density of states at the Fermi level = 1.39 states/eV/cell
E_form (uncorrected) = -18.248 kcal/mol of atoms
total magnetization = 0.0 μB per cell
raw total energy = -15.584 eV per cell

Cell lengths 4.5582, 4.5606, 6.5380 Å; angles 90.00, 90.00, 90.00 degrees
Sites, in units of the cell vectors:
Te: 0.5000 0.3323 0.5000
Te: 0.5000 0.3342 0.0000
Te: 0.0000 0.8323 0.5000
Sr: 0.0000 0.8345 0.0000

6.
Here is a relaxed structure of Sr3Te5 from the Alexandria database. Energies are from GGA-PBEsol.

Values from the calculation:
density of states at the Fermi level = 4.66 states/eV/cell
E_form (uncorrected) = -25.858 kcal/mol of atoms
total magnetization = 0.0 μB per cell
raw total energy = -32.122 eV per cell

Cell lengths 5.9524, 6.6003, 6.6003 Å; angles 103.99, 90.00, 90.00 degrees
Sites, in units of the cell vectors:
Te: 0.5000 0.3027 0.3027
Te: 0.5000 0.6973 0.6973
Te: 0.0000 0.0000 0.0000
Te: 0.0000 0.0000 0.5000
Te: 0.0000 0.5000 0.0000
Sr: 0.0000 0.5000 0.5000
Sr: 0.5000 0.2121 0.7879
Sr: 0.5000 0.7879 0.2121